1.
# PrAl3Ni

A geometry-optimized PrAl3Ni structure (GGA-PBE, Alexandria).

## Properties
**E_form**: -0.38 eV per atom
**Energy relative to the lowest polymorph listed for this composition**: 190 meV/atom
**Crystal system**: cubic

a = 4.597 Å, b = 4.597 Å, c = 4.597 Å
α = 90.00°, β = 90.00°, γ = 90.00°
Space group Pm-3m (No. 221)
Inequivalent atoms, fractional coordinates:
Pr (0.000, 0.000, 0.000)
Al (0.000, 0.500, 0.500)
Ni (0.500, 0.500, 0.500)

***

2.
# NbSiTc2Ru

A geometry-optimized NbSiTc2Ru structure (GGA-PBE, Alexandria).

## Properties
**Uncorrected formation energy**: 1277 meV per atom
**Crystal system**: tetragonal

a = 4.627 Å, b = 4.627 Å, c = 4.396 Å
α = 90.00°, β = 90.00°, γ = 90.00°
Space group P4/mmm (No. 123)
Inequivalent atoms, fractional coordinates:
Nb (0.000, 0.000, 0.000)
Si (0.500, 0.500, 0.000)
Tc (0.000, 0.500, 0.500)
Ru (0.500, 0.500, 0.500)

***

How do the records compare in size of the total moment? In the order shown, they have 0.00; 0.00 μB per formula unit.